Arrangement w

DFT (PBE) results for a relaxed Li2Hg3Pb2 crystal.

```
Li2Hg3Pb2
1.0
5.495 -2.227 0.000
5.495 2.227 0.000
-2.857 0.000 6.737
Li Hg Pb
2 3 2
Direct
0.138 0.138 0.221
0.862 0.862 0.779
0.374 0.374 0.544
0.500 0.500 0.000
0.626 0.626 0.456
0.154 0.154 0.802
0.846 0.846 0.198
```

SG	C2/m

=====

Arrangement x

DFT (PBE) results for a relaxed Li2Hg3Pb2 crystal.

```
Li2Hg3Pb2
1.0
1.693 -14.805 0.000
1.693 14.805 0.000
0.000 0.000 3.280
Li Hg Pb
2 3 2
Direct
0.059 0.941 0.000
0.941 0.059 0.000
0.386 0.614 0.500
0.500 0.500 0.500
0.614 0.386 0.500
0.199 0.801 0.000
0.801 0.199 0.000
```

SG	Cmmm

=====

arrangement x takes first place; second place is 33 meV/atom up.

=====

Arrangement w

DFT (PBE) results for a relaxed Li7Hg2Pb crystal.

```
Li7Hg2Pb
1.0
3.776 -7.088 0.000
3.776 7.088 0.000
0.000 0.000 4.364
Li Hg Pb
7 2 1
Direct
0.000 0.000 0.000
0.209 0.427 0.000
0.296 0.704 0.500
0.427 0.209 0.000
0.573 0.791 0.000
0.704 0.296 0.500
0.791 0.573 0.000
0.193 0.807 0.000
0.807 0.193 0.000
0.500 0.500 0.500
```

SG	Cmmm

=====

Arrangement x

DFT (PBE) results for a relaxed Li7Hg2Pb crystal.

```
Li7Hg2Pb
1.0
4.673 0.000 0.000
-2.337 4.047 0.000
0.000 0.000 10.283
Li Hg Pb
7 2 1
Direct
0.000 0.000 0.000
0.000 0.000 0.243
0.000 0.000 0.497
0.333 0.667 0.635
0.333 0.667 0.964
0.667 0.333 0.411
0.667 0.333 0.808
0.000 0.000 0.752
0.333 0.667 0.351
0.667 0.333 0.115
```

SG	P3m1

=====

arrangement x takes first place; second place is 152 meV/atom up.

=====

Arrangement w

DFT (PBE) results for a relaxed Li2Hg4Pb3 crystal.

```
Li2Hg4Pb3
1.0
5.526 -1.707 0.000
5.526 1.707 0.000
-3.821 0.000 11.839
Li Hg Pb
2 4 3
Direct
0.163 0.163 0.209
0.837 0.837 0.791
0.183 0.183 0.875
0.469 0.469 0.686
0.531 0.531 0.314
0.817 0.817 0.125
0.160 0.160 0.576
0.500 0.500 0.000
0.840 0.840 0.424
```

SG	C2/m

=====

Arrangement x

DFT (PBE) results for a relaxed Li2Hg4Pb3 crystal.

```
Li2Hg4Pb3
1.0
5.766 -2.482 0.000
5.766 2.482 0.000
-5.058 0.000 7.885
Li Hg Pb
2 4 3
Direct
0.118 0.118 0.288
0.882 0.882 0.712
0.197 0.197 0.049
0.421 0.421 0.602
0.579 0.579 0.398
0.803 0.803 0.951
0.158 0.158 0.666
0.500 0.500 0.000
0.842 0.842 0.334
```

SG	C2/m

=====

arrangement w takes first place; second place is 10 meV/atom up.

=====

Arrangement w

DFT (PBE) results for a relaxed RbLiHg2Pb crystal.

```
RbLiHg2Pb
1.0
6.086 0.000 0.000
0.000 6.086 0.000
0.000 0.000 5.396
Rb Li Hg Pb
1 1 2 1
Direct
0.000 0.000 0.000
0.500 0.500 0.000
0.000 0.500 0.500
0.500 0.000 0.500
0.500 0.500 0.500
```

SG	P4/mmm

=====

Arrangement x

DFT (PBE) results for a relaxed RbLiHg2Pb crystal.

```
RbLiHg2Pb
1.0
5.409 0.000 0.000
0.000 5.409 0.000
0.000 0.000 5.286
Rb Li Hg Pb
1 1 2 1
Direct
0.000 0.000 0.000
0.500 0.500 0.500
0.000 0.500 0.500
0.500 0.000 0.500
0.500 0.500 0.000
```

SG	P4/mmm

=====

arrangement x takes first place; second place is 23 meV/atom up.

=====

Arrangement w

DFT (PBE) results for a relaxed Li4Hg2Pd3 crystal.

```
Li4Hg2Pd3
1.0
6.507 -2.256 0.000
6.507 2.256 0.000
-1.541 0.000 4.837
Li Hg Pd
4 2 3
Direct
0.051 0.051 0.264
0.279 0.279 0.378
0.721 0.721 0.622
0.949 0.949 0.736
0.161 0.161 0.805
0.839 0.839 0.195
0.389 0.389 0.920
0.500 0.500 0.500
0.611 0.611 0.080
```

SG	C2/m

=====

Arrangement x

DFT (PBE) results for a relaxed Li4Hg2Pd3 crystal.

```
Li4Hg2Pd3
1.0
4.100 0.000 0.000
-2.045 4.247 0.000
-0.017 -1.867 8.084
Li Hg Pd
4 2 3
Direct
0.011 0.021 0.346
0.337 0.675 0.110
0.663 0.325 0.890
0.989 0.979 0.654
0.330 0.660 0.779
0.670 0.340 0.221
0.000 0.000 0.000
0.335 0.669 0.434
0.665 0.331 0.566
```

SG	P-1

=====

arrangement x takes first place; second place is 30 meV/atom up.

=====

Arrangement w

DFT (PBE) results for a relaxed LiHg2Pd crystal.

```
LiHg2Pd
1.0
-2.093 2.093 9.576
2.093 -2.093 9.576
2.093 2.093 -9.576
Li Hg Pd
2 4 2
Direct
0.000 0.000 0.000
0.750 0.250 0.500
0.128 0.625 0.003
0.375 0.378 0.503
0.622 0.125 0.997
0.875 0.872 0.497
0.250 0.750 0.500
0.500 0.500 0.000
```

SG	I-42d

=====

Arrangement x

DFT (PBE) results for a relaxed LiHg2Pd crystal.

```
LiHg2Pd
1.0
2.266 1.308 4.896
-2.266 1.308 4.896
0.000 -2.617 4.896
Li Hg Pd
1 2 1
Direct
0.000 0.000 0.000
0.581 0.581 0.581
0.782 0.782 0.782
0.188 0.188 0.188
```

SG	R3m

=====

Arrangement y

DFT (PBE) results for a relaxed LiHg2Pd crystal.

```
LiHg2Pd
1.0
3.462 0.000 0.000
0.000 3.462 0.000
0.000 0.000 6.047
Li Hg Pd
1 2 1
Direct
0.000 0.000 0.000
0.500 0.500 0.246
0.500 0.500 0.754
0.000 0.000 0.500
```

SG	P4/mmm

=====

arrangement y takes first place; second place is 99 meV/atom up.